# 1
DFT (PBE) results for an optimized crystal structure of La2Si3Ge.

The calculation puts the calculated density at 5.37 g/cm3. Its formation energy without anion corrections is -0.64 eV/atom. The value obtained for the density of states at the Fermi level is 3.3 states/eV/f.u.

The structure belongs to space group Pmm2 (No. 25); the cell edges are 4.0630, 4.3378 and 7.6226 Å and the angles 90.00°, 90.00° and 90.00°. The asymmetric unit holds La at (0.0000, 0.0000, 0.0000), La at (0.5000, 0.0000, 0.4892), Si at (0.0000, 0.5000, 0.3219), Si at (0.5000, 0.5000, 0.1604), Si at (0.5000, 0.5000, 0.8452) and Ge at (0.0000, 0.5000, 0.6598).

***

# 2
DFT (PBE) results for an optimized crystal structure of CrCuAg.

The calculation puts the calculated density at 7.92 g/cm3. The value obtained for the electronic total energy is -15.18 eV per cell. The value obtained for the density of states at the Fermi level is 2.3 states/eV/f.u.

The structure belongs to space group P3m1 (No. 156); the cell edges are 4.3951, 4.3951 and 2.7987 Å and the angles 90.00°, 90.00° and 120.00°. The asymmetric unit holds Cr at (0.0000, 0.0000, 0.0000), Cu at (0.3333, 0.6667, 0.3081) and Ag at (0.6667, 0.3333, 0.5962).

***

# 3
DFT (PBE) results for an optimized crystal structure of NdSnH.

The calculation puts the calculated density at 6.00 g/cm3. The value obtained for the electronic total energy is -25.38 eV per cell. The value obtained for the density of states at the Fermi level is 0.3 states/eV/f.u.

The structure belongs to space group I4mm (No. 107); the cell edges are 4.5368, 4.5368 and 7.0928 Å and the angles 90.00°, 90.00° and 90.00°. The asymmetric unit holds Nd at (0.0000, 0.0000, 0.0000), Sn at (0.0000, 0.0000, 0.5665) and H at (0.0000, 0.0000, 0.3148).